Entry 1:
Below is an optimized crystal structure of Ag2TeIr, with properties calculated at the GGA-PBE level.

Output
density: 11235 kg/m3
ΔE_f (raw): 498 meV per atom
magnetization: 0.1993 μB/atom

abc: 10.426 10.426 10.426
angles: 16.44 16.44 16.44
Site moments in Bohr magnetons follow the coordinates.
Fractional positions:
Te1 0.750 0.750 0.750  0.00
Ag1 0.990 0.990 0.990  0.02
Ag2 0.510 0.510 0.510  0.02
Ir1 0.250 0.250 0.250  0.75


Entry 2:
Below is an optimized crystal structure of MnCr2Rh, with properties calculated at the GGA-PBE level.

Output
density: 8675 kg/m3
magnetization: 0.5580 μB/atom
energy above the most stable polymorph in this dataset: 133 meV/atom

abc: 2.582 2.582 8.071
angles: 90.00 90.00 111.37
Site moments in Bohr magnetons follow the coordinates.
Fractional positions:
Cr1 0.000 0.000 0.014  0.15
Cr2 0.500 0.500 0.247  -0.46
Rh1 0.500 0.500 0.753  0.18
Mn1 0.000 0.000 0.486  2.33